DFT (PBE-GGA) results for a relaxed Y3In7Rh4 crystal.

a b c (Å): 8.416 8.416 10.014
angles (deg): 120.78 120.78 30.57
Fractional coordinates of all 14 atoms:
Y (0.000, 0.000, 0.000)
Y (0.305, 0.305, 0.292)
Y (0.695, 0.695, 0.708)
In (0.000, 0.000, 0.500)
In (0.163, 0.163, 0.428)
In (0.317, 0.317, 0.976)
In (0.493, 0.493, 0.717)
In (0.507, 0.507, 0.283)
In (0.683, 0.683, 0.024)
In (0.837, 0.837, 0.572)
Rh (0.114, 0.114, 0.828)
Rh (0.331, 0.331, 0.723)
Rh (0.669, 0.669, 0.277)
Rh (0.886, 0.886, 0.172)

Properties
Calculated volume ... 305.80 Å³ per cell
SG ... C2/m
Formation energy ... -526.6 meV/atom
M_tot ... 0.00 μB/f.u.